No. 1
# Pr9ScTl2

Crystalline Pr9ScTl2 at its relaxed geometry (PBE, Alexandria).

Results
spin magnetization: 0.00 μB/f.u.
energy relative to the elements: -122 meV per atom

abc: 5.0309 5.0309 15.3287
angles: 90.00 90.00 90.00
Space group P4/mmm (No. 123)
Inequivalent atoms, fractional coordinates:
Pr 0.0000 0.0000 0.0000 [1 per cell]
Pr 0.0000 0.0000 0.3336 [2 per cell]
Pr 0.0000 0.5000 0.1676 [4 per cell]
Pr 0.0000 0.5000 0.5000 [2 per cell]
Sc 0.5000 0.5000 0.0000 [1 per cell]
Tl 0.5000 0.5000 0.3370 [2 per cell]

No. 2
# YEr5Tm4

Crystalline YEr5Tm4 at its relaxed geometry (PBE, Alexandria).

Results
spin magnetization: 0.00 μB/f.u.
energy relative to the elements: 318 meV per atom

abc: 10.0654 10.0654 6.2490
angles: 90.00 90.00 90.00
Space group I4 (No. 79)
Inequivalent atoms, fractional coordinates:
Y 0.0000 0.0000 0.0000 [2 per cell]
Er 0.0000 0.0000 0.4580 [2 per cell]
Er 0.1434 0.7654 0.7253 [8 per cell]
Tm 0.0505 0.6519 0.2271 [8 per cell]

No. 3
# Al2Cu2Bi

Crystalline Al2Cu2Bi at its relaxed geometry (PBE, Alexandria).

Results
spin magnetization: 0.00 μB/f.u.
energy relative to the elements: 100 meV per atom

abc: 7.5130 7.5130 3.1272
angles: 90.00 90.00 90.00
Space group P4/mbm (No. 127)
Inequivalent atoms, fractional coordinates:
Al 0.1553 0.3447 0.0000 [4 per cell]
Cu 0.1270 0.6270 0.5000 [4 per cell]
Bi 0.0000 0.0000 0.5000 [2 per cell]

No. 4
# TePBrO6

Crystalline TePBrO6 at its relaxed geometry (PBE, Alexandria).

Results
spin magnetization: 0.00 μB/f.u.
formation energy (no corrections): -0.97 eV/atom

abc: 4.9208 8.6379 6.3510
angles: 90.00 102.47 90.00
Space group C2 (No. 5)
Inequivalent atoms, fractional coordinates:
Te 0.0000 0.0000 0.0000 [2 per cell]
P 0.0000 0.3518 0.0000 [2 per cell]
Br 0.0000 0.1905 0.5000 [2 per cell]
O 0.0789 0.1896 0.8382 [4 per cell]
O 0.1192 0.4780 0.8339 [4 per cell]
O 0.1750 0.8538 0.8367 [4 per cell]

No. 5
# TaAlBr

Crystalline TaAlBr at its relaxed geometry (PBE, Alexandria).

Results
spin magnetization: 0.00 μB/f.u.
formation energy (no corrections): -0.20 eV/atom

abc: 3.2039 5.2163 9.8367
angles: 75.05 81.28 72.22
Space group P-1 (No. 2)
Inequivalent atoms, fractional coordinates:
Ta 0.1417 0.1431 0.0768 [2 per cell]
Al 0.4050 0.5548 0.1452 [2 per cell]
Br 0.1863 0.8151 0.3339 [2 per cell]

No. 6
# KS

Crystalline KS at its relaxed geometry (PBE, Alexandria).

Results
spin magnetization: 0.00 μB/f.u.
formation energy (no corrections): -0.52 eV/atom

abc: 3.3868 3.3868 4.4410
angles: 90.00 90.00 90.00
Space group P4/mmm (No. 123)
Inequivalent atoms, fractional coordinates:
K 0.0000 0.0000 0.0000 [1 per cell]
S 0.5000 0.5000 0.5000 [1 per cell]